A plane-wave DFT calculation with GGA-PBE was carried out for a relaxed structure of NiHS.

abc: 4.2412 3.3139 5.4400
angles: 90.00 97.82 90.00
Last column: nearest neighbours and their distance in Å.
Space group Pm (No. 6)
Unique sites:
Ni 0.0000 0.0000 0.0000 [1 per cell]  1 H 1.70
Ni 0.2222 0.5000 0.6767 [1 per cell]  2 H 1.74
H 0.2438 0.0000 0.7757 [1 per cell]  3 Ni 1.70-1.74
H 0.5170 0.5000 0.2380 [1 per cell]  1 S 1.36
S 0.2011 0.5000 0.2621 [1 per cell]  1 H 1.36
S 0.7377 0.5000 0.7989 [1 per cell]  4 Ni 2.20-2.24

Computed properties:
Mass density in kg/m3: 4023
Volume in A^3/atom: 12.625
Calculated total energy in eV/f.u.: -13.72